# NiSCl3

A relaxed NiSCl3 crystal (PBE-GGA, Alexandria via LeMat-Bulk).

a b c (Å): 4.858 4.858 4.858
angles (deg): 90.00 90.00 90.00
Space group Pm-3m (No. 221)
One atom of each set of equivalent atoms:
Ni  0.000  0.000  0.000 [1 per cell]
S  0.500  0.500  0.500 [1 per cell]
Cl  0.000  0.500  0.500 [3 per cell]

Computed properties:
- Total DFT energy (no corrections): -12.29 eV per formula unit
- Fermi-level density of states: 3.22 states/eV/atom